(1)
A plane-wave DFT calculation with PBE was carried out for crystalline V4TcIr2 at its relaxed geometry.

Values from the calculation:
- crystal system = tetragonal
- total moment (μB/f.u.) = 3.58
- final energy (eV for the cell shown) = -118.36

Structure (CIF):
```
data_V4TcIr2
_chemical_formula_sum 'V8 Tc2 Ir4'
_space_group_name_H-M_alt 'I 4/m m m'
_space_group_IT_number 139
_space_group_name_Hall '-I 4 2'
_cell_length_a 4.448
_cell_length_b 4.448
_cell_length_c 12.476
_cell_angle_alpha 90.00
_cell_angle_beta 90.00
_cell_angle_gamma 90.00
loop_
_atom_site_label
_atom_site_type_symbol
_atom_site_fract_x
_atom_site_fract_y
_atom_site_fract_z
_atom_site_occupancy
V1 V 0.000 0.000 0.195 1
V2 V 0.000 0.500 0.000 1
Tc1 Tc 0.000 0.000 0.000 1
Ir1 Ir 0.000 0.000 0.385 1
```



(2)
A plane-wave DFT calculation with PBE was carried out for crystalline V3TcIr6 at its relaxed geometry.

Values from the calculation:
- crystal system = monoclinic
- total moment (μB/f.u.) = 0.34
- final energy (eV for the cell shown) = -190.91

Structure (CIF):
```
data_V3TcIr6
_chemical_formula_sum 'V6 Tc2 Ir12'
_space_group_name_H-M_alt 'P 1 21/m 1'
_space_group_IT_number 11
_space_group_name_Hall '-P 2yb'
_cell_length_a 7.253
_cell_length_b 4.360
_cell_length_c 9.457
_cell_angle_alpha 90.00
_cell_angle_beta 109.26
_cell_angle_gamma 90.00
loop_
_atom_site_label
_atom_site_type_symbol
_atom_site_fract_x
_atom_site_fract_y
_atom_site_fract_z
_atom_site_occupancy
V1 V 0.087 0.250 0.235 1
V2 V 0.302 0.250 0.033 1
V3 V 0.304 0.750 0.366 1
Tc1 Tc 0.097 0.750 0.567 1
Ir1 Ir 0.094 0.250 0.733 1
Ir2 Ir 0.109 0.750 0.071 1
Ir3 Ir 0.295 0.250 0.529 1
Ir4 Ir 0.303 0.750 0.869 1
Ir5 Ir 0.493 0.250 0.329 1
Ir6 Ir 0.499 0.250 0.831 1
```



(3)
A plane-wave DFT calculation with PBE was carried out for crystalline VTc2Ir at its relaxed geometry.

Values from the calculation:
- crystal system = tetragonal
- total moment (μB/f.u.) = 0.00
- final energy (eV for the cell shown) = -39.50

Structure (CIF):
```
data_VTc2Ir
_chemical_formula_sum 'V1 Tc2 Ir1'
_space_group_name_H-M_alt 'P 4/m m m'
_space_group_IT_number 123
_space_group_name_Hall '-P 4 2'
_cell_length_a 3.826
_cell_length_b 3.826
_cell_length_c 3.903
_cell_angle_alpha 90.00
_cell_angle_beta 90.00
_cell_angle_gamma 90.00
loop_
_atom_site_label
_atom_site_type_symbol
_atom_site_fract_x
_atom_site_fract_y
_atom_site_fract_z
_atom_site_occupancy
V1 V 0.000 0.000 0.000 1
Tc1 Tc 0.000 0.500 0.500 1
Ir1 Ir 0.500 0.500 0.000 1
```



(4)
A plane-wave DFT calculation with PBE was carried out for crystalline VTcIr3 at its relaxed geometry.

Values from the calculation:
- crystal system = monoclinic
- total moment (μB/f.u.) = 0.00
- final energy (eV for the cell shown) = -189.41

Structure (CIF):
```
data_VTcIr3
_chemical_formula_sum 'V4 Tc4 Ir12'
_space_group_name_H-M_alt 'C 1 2/m 1'
_space_group_IT_number 12
_space_group_name_Hall '-C 2y'
_cell_length_a 13.934
_cell_length_b 3.825
_cell_length_c 5.486
_cell_angle_alpha 90.00
_cell_angle_beta 101.94
_cell_angle_gamma 90.00
loop_
_atom_site_label
_atom_site_type_symbol
_atom_site_fract_x
_atom_site_fract_y
_atom_site_fract_z
_atom_site_occupancy
V1 V 0.099 0.000 0.054 1
Tc1 Tc 0.202 0.500 0.845 1
Ir1 Ir 0.001 0.500 0.756 1
Ir2 Ir 0.102 0.000 0.557 1
Ir3 Ir 0.199 0.500 0.339 1
```



(5)
A plane-wave DFT calculation with PBE was carried out for crystalline VTcIr2W at its relaxed geometry.

Values from the calculation:
- crystal system = tetragonal
- total moment (μB/f.u.) = 1.83
- final energy (eV for the cell shown) = -41.43

Structure (CIF):
```
data_VTcIr2W
_chemical_formula_sum 'V1 Tc1 Ir2 W1'
_space_group_name_H-M_alt 'P 4/m m m'
_space_group_IT_number 123
_space_group_name_Hall '-P 4 2'
_cell_length_a 4.726
_cell_length_b 4.726
_cell_length_c 4.568
_cell_angle_alpha 90.00
_cell_angle_beta 90.00
_cell_angle_gamma 90.00
loop_
_atom_site_label
_atom_site_type_symbol
_atom_site_fract_x
_atom_site_fract_y
_atom_site_fract_z
_atom_site_occupancy
V1 V 0.000 0.000 0.000 1
Tc1 Tc 0.500 0.500 0.000 1
Ir1 Ir 0.000 0.500 0.500 1
W1 W 0.000 0.000 0.500 1
```



(6)
A plane-wave DFT calculation with PBE was carried out for crystalline TcIr2W at its relaxed geometry.

Values from the calculation:
- crystal system = tetragonal
- total moment (μB/f.u.) = 0.00
- final energy (eV for the cell shown) = -41.48

Structure (CIF):
```
data_TcIr2W
_chemical_formula_sum 'Tc1 Ir2 W1'
_space_group_name_H-M_alt 'P 4 m m'
_space_group_IT_number 99
_space_group_name_Hall 'P 4 -2'
_cell_length_a 2.755
_cell_length_b 2.755
_cell_length_c 7.916
_cell_angle_alpha 90.00
_cell_angle_beta 90.00
_cell_angle_gamma 90.00
loop_
_atom_site_label
_atom_site_type_symbol
_atom_site_fract_x
_atom_site_fract_y
_atom_site_fract_z
_atom_site_occupancy
Tc1 Tc 0.000 0.000 0.000 1
Ir1 Ir 0.000 0.000 0.507 1
Ir2 Ir 0.500 0.500 0.771 1
W1 W 0.500 0.500 0.270 1
```



Repeat the fifth record exactly.
A plane-wave DFT calculation with PBE was carried out for crystalline VTcIr2W at its relaxed geometry.

Values from the calculation:
- crystal system = tetragonal
- total moment (μB/f.u.) = 1.83
- final energy (eV for the cell shown) = -41.43

Structure (CIF):
```
data_VTcIr2W
_chemical_formula_sum 'V1 Tc1 Ir2 W1'
_space_group_name_H-M_alt 'P 4/m m m'
_space_group_IT_number 123
_space_group_name_Hall '-P 4 2'
_cell_length_a 4.726
_cell_length_b 4.726
_cell_length_c 4.568
_cell_angle_alpha 90.00
_cell_angle_beta 90.00
_cell_angle_gamma 90.00
loop_
_atom_site_label
_atom_site_type_symbol
_atom_site_fract_x
_atom_site_fract_y
_atom_site_fract_z
_atom_site_occupancy
V1 V 0.000 0.000 0.000 1
Tc1 Tc 0.500 0.500 0.000 1
Ir1 Ir 0.000 0.500 0.500 1
W1 W 0.000 0.000 0.500 1
```